La4MgOs: relaxed, GGA-PBE.

## Properties
**Calculated formation energy**: 0.8066 eV per atom
**Offset from the most stable computed form**: 0.9787 eV per atom

The structure in CIF format:
```
data_La4MgOs
_cell_length_a 6.263
_cell_length_b 6.263
_cell_length_c 6.263
_cell_angle_alpha 60.00
_cell_angle_beta 60.00
_cell_angle_gamma 60.00
_symmetry_space_group_name_H-M 'P 1'
_symmetry_Int_Tables_number 1
loop_
_symmetry_equiv_pos_as_xyz
'x,y,z'
loop_
_atom_site_label
_atom_site_fract_x
_atom_site_fract_y
_atom_site_fract_z
La1 0.373 0.373 0.373
La2 0.373 0.881 0.373
La3 0.373 0.373 0.881
La4 0.881 0.373 0.373
Mg1 0.750 0.750 0.750
Os1 0.000 0.000 0.000
```